Entry 1:
# La4PaRh5 (PBE, relaxed)
# M_tot: 0.0 μB per formula unit
# Total DFT energy (no corrections): -0.532 Ry per atom
# ΔH_f (0 K): -0.636 eV per atom
# Crystal system: triclinic
data_La4PaRh5
_chemical_formula_sum 'La4 Pa1 Rh5'
_cell_length_a 5.1844
_cell_length_b 7.1494
_cell_length_c 7.1826
_cell_angle_alpha 84.58
_cell_angle_beta 73.79
_cell_angle_gamma 73.65
_symmetry_space_group_name_H-M 'P 1'
_symmetry_Int_Tables_number 1
loop_
_symmetry_equiv_pos_as_xyz
'x,y,z'
loop_
_atom_site_label
_atom_site_type_symbol
_atom_site_fract_x
_atom_site_fract_y
_atom_site_fract_z
La1 La 0.0000 0.0000 0.0000
La2 La 0.0016 0.4309 0.5711
La3 La 0.2700 0.4472 0.0186
La4 La 0.6293 0.0245 0.5964
Pa1 Pa 0.5602 0.6991 0.2711
Rh1 Rh 0.0201 0.7647 0.3335
Rh2 Rh 0.2855 0.7327 0.6516
Rh3 Rh 0.2882 0.0813 0.3030
Rh4 Rh 0.6911 0.7054 0.8983
Rh5 Rh 0.6944 0.3255 0.2766

***

Entry 2:
# RbSb2TeF (PBE, relaxed)
# M_tot: 4.3 μB per formula unit
# Offset from the most stable computed form: 6.819 eV/f.u.
# Total DFT energy (no corrections): -0.135 Ry per atom
# Crystal system: tetragonal
data_RbSb2TeF
_chemical_formula_sum 'Rb1 Sb2 Te1 F1'
_cell_length_a 7.3087
_cell_length_b 7.3087
_cell_length_c 6.8695
_cell_angle_alpha 90.00
_cell_angle_beta 90.00
_cell_angle_gamma 90.00
_symmetry_space_group_name_H-M 'P 4/m m m'
_symmetry_Int_Tables_number 123
_symmetry_space_group_name_Hall '-P 4 2'
loop_
_atom_site_label
_atom_site_type_symbol
_atom_site_fract_x
_atom_site_fract_y
_atom_site_fract_z
Rb1 Rb 0.0000 0.0000 0.0000
Sb1 Sb 0.0000 0.5000 0.0000
Te1 Te 0.0000 0.0000 0.5000
F1 F 0.5000 0.5000 0.5000

***

Entry 3:
# ZnAg3Au (PBE, relaxed)
# M_tot: 0.0 μB per formula unit
# Offset from the most stable computed form: 3.728 eV/f.u.
# Total DFT energy (no corrections): -0.142 Ry per atom
# ΔH_f (0 K): 0.691 eV per atom
# Crystal system: cubic
data_ZnAg3Au
_chemical_formula_sum 'Zn1 Ag3 Au1'
_cell_length_a 5.1868
_cell_length_b 5.1868
_cell_length_c 5.1868
_cell_angle_alpha 90.00
_cell_angle_beta 90.00
_cell_angle_gamma 90.00
_symmetry_space_group_name_H-M 'P m -3 m'
_symmetry_Int_Tables_number 221
_symmetry_space_group_name_Hall '-P 4 2 3'
loop_
_atom_site_label
_atom_site_type_symbol
_atom_site_fract_x
_atom_site_fract_y
_atom_site_fract_z
Zn1 Zn 0.0000 0.0000 0.0000
Ag1 Ag 0.0000 0.5000 0.5000
Au1 Au 0.5000 0.5000 0.5000

***

Entry 4:
# Ir2PtF (PBE, relaxed)
# M_tot: 0.0 μB per formula unit
# Offset from the most stable computed form: 0.000 eV/f.u.
# Total DFT energy (no corrections): -0.441 Ry per atom
# Crystal system: cubic
data_Ir2PtF
_chemical_formula_sum 'Ir8 Pt4 F4'
_cell_length_a 6.0889
_cell_length_b 6.0889
_cell_length_c 6.0889
_cell_angle_alpha 90.00
_cell_angle_beta 90.00
_cell_angle_gamma 90.00
_symmetry_space_group_name_H-M 'F m -3 m'
_symmetry_Int_Tables_number 225
_symmetry_space_group_name_Hall '-F 4 2 3'
loop_
_atom_site_label
_atom_site_type_symbol
_atom_site_fract_x
_atom_site_fract_y
_atom_site_fract_z
Ir1 Ir 0.2500 0.2500 0.2500
Pt1 Pt 0.0000 0.0000 0.0000
F1 F 0.0000 0.0000 0.5000